No. 1
Compound: Ni2RuRh
Source: Alexandria
Functional: PBE-GGA
Structure: relaxed

Computed properties:
- E_form (kJ/mol of formula units) = 23
- DOS at the Fermi energy (states/eV/f.u.) = 4.471
- mass density (g/cm³) = 10.63
- uncorrected energy (eV per cell) = -55.91

a = 8.6885 Å, b = 2.6492 Å, c = 4.4396 Å
α = 90.00°, β = 100.66°, γ = 90.00°
With the nearest neighbours (Å) after each atom.
Space group Cm (No. 8)
Unique sites:
Ni 0.0000 0.0000 0.0000 x2  5 Ni 2.56-2.65, 4 Rh 2.58-2.59, 3 Ru 2.61-2.63
Ni 0.2458 0.5000 0.2326 x2  4 Ru 2.55-2.62, 5 Ni 2.56-2.65, 3 Rh 2.64
Ru 0.2505 0.0000 0.7443 x2  7 Ni 2.55-2.63, 3 Rh 2.59-2.62, 2 Ru 2.65
Rh 0.4981 0.0000 0.4973 x2  7 Ni 2.58-2.64, 3 Ru 2.59-2.62, 2 Rh 2.65

No. 2
Compound: NiRuRh2
Source: Alexandria
Functional: PBE-GGA
Structure: relaxed

Computed properties:
- E_form (kJ/mol of formula units) = 21
- DOS at the Fermi energy (states/eV/f.u.) = 5.656
- mass density (g/cm³) = 11.31
- uncorrected energy (eV per cell) = -59.08

a = 8.8566 Å, b = 2.6748 Å, c = 4.6023 Å
α = 90.00°, β = 100.11°, γ = 90.00°
With the nearest neighbours (Å) after each atom.
Space group C2/m (No. 12)
Unique sites:
Ni 0.0000 0.0000 0.0000 x2  6 Rh 2.66-2.67, 4 Ru 2.66, 2 Ni 2.67
Ru 0.0000 0.5000 0.5000 x2  4 Ni 2.66, 6 Rh 2.66-2.68, 2 Ru 2.67
Rh 0.2487 0.5000 0.2482 x4  6 Rh 2.65-2.67, 3 Ni 2.66-2.67, 3 Ru 2.66-2.68

No. 3
Compound: NiRuRh2
Source: Alexandria
Functional: PBE-GGA
Structure: relaxed

Computed properties:
- E_form (kJ/mol of formula units) = 43
- DOS at the Fermi energy (states/eV/f.u.) = 6.986
- mass density (g/cm³) = 11.20
- uncorrected energy (eV per cell) = -87.94

a = 2.6969 Å, b = 2.6969 Å, c = 25.8178 Å
α = 90.00°, β = 90.00°, γ = 120.00°
With the nearest neighbours (Å) after each atom.
Space group R3m (No. 160, hexagonal axes)
Unique sites:
Ni 0.0000 0.0000 0.0000 x3  3 Ru 2.60, 3 Rh 2.61, 6 Ni 2.70
Ru 0.0000 0.0000 0.2529 x3  3 Ni 2.60, 3 Rh 2.66, 6 Ru 2.70
Rh 0.0000 0.0000 0.5025 x3  3 Ru 2.66, 9 Rh 2.70-2.75
Rh 0.0000 0.0000 0.7479 x3  3 Ni 2.61, 9 Rh 2.70-2.75

No. 4
Compound: NiRuRh
Source: Alexandria
Functional: PBE-GGA
Structure: relaxed

Computed properties:
- E_form (kJ/mol of formula units) = 14
- DOS at the Fermi energy (states/eV/f.u.) = 3.896
- mass density (g/cm³) = 11.12
- uncorrected energy (eV per cell) = -44.53

a = 4.5853 Å, b = 4.5886 Å, c = 5.0181 Å
α = 90.54°, β = 116.14°, γ = 119.95°
With the nearest neighbours (Å) after each atom.
Space group P-1 (No. 2)
Unique sites:
Ni 0.1686 0.4188 0.2494 x2  5 Rh 2.61-2.68, 5 Ru 2.62-2.67, 2 Ni 2.64-2.66
Ru 0.4969 0.0844 0.2499 x2  5 Ni 2.62-2.67, 5 Rh 2.62-2.68, 2 Ru 2.63
Rh 0.1665 0.2554 0.7487 x2  5 Ni 2.61-2.68, 5 Ru 2.62-2.68, 2 Rh 2.64-2.65

No. 5
Compound: Ni8RuRh4
Source: Alexandria
Functional: PBE-GGA
Structure: relaxed

Computed properties:
- E_form (kJ/mol of formula units) = 621
- DOS at the Fermi energy (states/eV/f.u.) = 29.195
- mass density (g/cm³) = 8.76
- uncorrected energy (eV per cell) = -235.50

a = 8.0884 Å, b = 8.0884 Å, c = 9.8556 Å
α = 90.00°, β = 90.00°, γ = 120.00°
With the nearest neighbours (Å) after each atom.
Space group R-3m (No. 166, hexagonal axes)
Unique sites:
Ni 0.0000 0.0000 0.2423 x6  4 Rh 2.39-2.50, 1 Ru 2.54
Ni 0.0101 0.5050 0.7461 x18  4 Rh 2.40-2.50, 1 Ru 2.55
Ru 0.0000 0.0000 0.5000 x3  8 Ni 2.54-2.55
Rh 0.0000 0.0000 0.0000 x3  8 Ni 2.39-2.40
Rh 0.0000 0.5000 0.0000 x9  8 Ni 2.50

No. 6
Compound: Ni5Ru2Rh12
Source: Alexandria
Functional: PBE-GGA
Structure: relaxed

Computed properties:
- E_form (kJ/mol of formula units) = 577
- DOS at the Fermi energy (states/eV/f.u.) = 32.373
- mass density (g/cm³) = 10.61
- uncorrected energy (eV per cell) = -259.39

a = 15.2455 Å, b = 5.3292 Å, c = 6.7231 Å
α = 90.00°, β = 97.48°, γ = 90.00°
With the nearest neighbours (Å) after each atom.
Space group C2/m (No. 12)
Unique sites:
Ni 0.0000 0.0000 0.0000 x2  6 Rh 2.30-2.46
Ni 0.1360 0.5000 0.5326 x4  2 Ru 2.50, 7 Rh 2.51-2.61
Ni 0.2455 0.0000 0.0077 x4  8 Rh 2.49-2.65, 2 Ni 2.67
Ru 0.0000 0.2325 0.5000 x4  1 Ru 2.48, 2 Ni 2.50, 4 Rh 2.54-2.69
Rh 0.0501 0.5000 0.1788 x4  1 Ni 2.56, 7 Rh 2.68-2.84, 2 Ru 2.78
Rh 0.1000 0.0000 0.2880 x4  1 Ni 2.30, 2 Rh 2.52, 2 Ru 2.54
Rh 0.1092 0.2535 0.8486 x8  4 Ni 2.46-2.65, 4 Rh 2.63-2.75, 1 Ru 2.69
Rh 0.2377 0.2654 0.3090 x8  4 Ni 2.49-2.61, 4 Rh 2.50-2.69

No. 7
Compound: NiRu2Rh7
Source: Alexandria
Functional: PBE-GGA
Structure: relaxed

Computed properties:
- E_form (kJ/mol of formula units) = 470
- DOS at the Fermi energy (states/eV/f.u.) = 19.904
- mass density (g/cm³) = 10.26
- uncorrected energy (eV per cell) = -141.83

a = 8.0469 Å, b = 14.8395 Å, c = 2.6605 Å
α = 90.00°, β = 90.00°, γ = 90.00°
With the nearest neighbours (Å) after each atom.
Space group Cmmm (No. 65)
Unique sites:
Ni 0.0000 0.0000 0.0000 x2  10 Rh 2.65-2.69, 2 Ni 2.66
Ru 0.0000 0.3260 0.5000 x4  5 Rh 2.50-2.58, 2 Ru 2.66
Rh 0.0000 0.1814 0.0000 x4  2 Ru 2.53, 6 Rh 2.62-2.66, 1 Ni 2.69
Rh 0.0000 0.5000 0.5000 x2  2 Ru 2.58, 6 Rh 2.59-2.66
Rh 0.2276 0.0932 0.5000 x8  1 Ru 2.50, 6 Rh 2.59-2.77, 2 Ni 2.65

No. 8
Compound: NiRuRh2
Source: Alexandria
Functional: PBE-GGA
Structure: relaxed

Computed properties:
- E_form (kJ/mol of formula units) = 19
- DOS at the Fermi energy (states/eV/f.u.) = 5.515
- mass density (g/cm³) = 11.30
- uncorrected energy (eV per cell) = -118.24

a = 8.4887 Å, b = 3.7709 Å, c = 7.5234 Å
α = 90.00°, β = 116.84°, γ = 90.00°
With the nearest neighbours (Å) after each atom.
Space group C2/m (No. 12)
Unique sites:
Ni 0.1263 0.0000 0.4384 x4  8 Rh 2.63-2.68, 3 Ni 2.66-2.69, 1 Ru 2.66
Ru 0.1259 0.0000 0.9368 x4  3 Ru 2.66-2.70, 1 Ni 2.66, 8 Rh 2.67-2.69
Rh 0.1223 0.5000 0.6840 x4  4 Rh 2.60-2.68, 5 Ni 2.65-2.68, 3 Ru 2.67-2.68
Rh 0.1268 0.5000 0.1906 x4  3 Ni 2.63-2.65, 5 Ru 2.67-2.69, 4 Rh 2.68-2.70

No. 9
Compound: NiRuRh
Source: Alexandria
Functional: PBE-GGA
Structure: relaxed

Computed properties:
- E_form (kJ/mol of formula units) = 21
- DOS at the Fermi energy (states/eV/f.u.) = 4.642
- mass density (g/cm³) = 11.04
- uncorrected energy (eV per cell) = -44.38

a = 2.6758 Å, b = 3.7595 Å, c = 7.8568 Å
α = 90.00°, β = 90.09°, γ = 90.00°
With the nearest neighbours (Å) after each atom.
Space group P2_1/m (No. 11)
Unique sites:
Ni 0.2493 0.2500 0.0797 x2  5 Rh 2.52-2.64, 6 Ni 2.62-2.68, 1 Ru 2.65
Ru 0.2496 0.2500 0.4168 x2  1 Ni 2.65, 6 Ru 2.65-2.68, 5 Rh 2.68-2.69
Rh 0.2508 0.2500 0.7584 x2  5 Ni 2.52-2.64, 2 Rh 2.68, 5 Ru 2.68-2.69

No. 10
Compound: Ni2RuRh
Source: Alexandria
Functional: PBE-GGA
Structure: relaxed

Computed properties:
- E_form (kJ/mol of formula units) = 107
- DOS at the Fermi energy (states/eV/f.u.) = 7.808
- mass density (g/cm³) = 10.31
- uncorrected energy (eV per cell) = -54.16

a = 2.6925 Å, b = 4.4250 Å, c = 8.6847 Å
α = 90.00°, β = 90.00°, γ = 90.00°
With the nearest neighbours (Å) after each atom.
Space group Cmmm (No. 65)
Unique sites:
Ni 0.0000 0.0000 0.2484 x4  2 Ru 2.54, 2 Rh 2.57, 6 Ni 2.59-2.69
Ru 0.0000 0.5000 0.0000 x2  4 Ni 2.54, 6 Ru 2.59-2.69
Rh 0.0000 0.5000 0.5000 x2  4 Ni 2.57, 6 Rh 2.59-2.69

No. 11
Compound: Ni4Ru2Rh3
Source: Alexandria
Functional: PBE-GGA
Structure: relaxed

Computed properties:
- E_form (kJ/mol of formula units) = 104
- DOS at the Fermi energy (states/eV/f.u.) = 14.562
- mass density (g/cm³) = 10.61
- uncorrected energy (eV per cell) = -250.63

a = 20.9479 Å, b = 4.5439 Å, c = 4.9555 Å
α = 90.00°, β = 98.19°, γ = 90.00°
With the nearest neighbours (Å) after each atom.
Space group C2/c (No. 15)
Unique sites:
Ni 0.1214 0.0888 0.3300 x8  4 Rh 2.52-2.70, 2 Ru 2.52-2.53, 5 Ni 2.53-2.61
Ni 0.1685 0.4170 0.9894 x8  5 Ni 2.53-2.59, 2 Rh 2.58-2.65, 5 Ru 2.58-2.66
Ru 0.2240 0.0867 0.6694 x8  7 Ni 2.52-2.66, 5 Ru 2.59-2.60
Rh 0.0000 0.0914 0.2500 x4  2 Ni 2.52, 8 Rh 2.61-2.69
Rh 0.0611 0.4044 0.6642 x8  5 Ni 2.58-2.70, 6 Rh 2.63-2.81

No. 12
Compound: NiRu3Rh2
Source: Alexandria
Functional: PBE-GGA
Structure: relaxed

Computed properties:
- E_form (kJ/mol of formula units) = 30
- DOS at the Fermi energy (states/eV/f.u.) = 7.667
- mass density (g/cm³) = 11.55
- uncorrected energy (eV per cell) = -96.01

a = 4.6807 Å, b = 5.0904 Å, c = 6.8954 Å
α = 83.40°, β = 89.95°, γ = 89.96°
With the nearest neighbours (Å) after each atom.
Space group P-1 (No. 2)
Unique sites:
Ni 0.0852 0.4138 0.3347 x2  6 Ru 2.65-2.73, 5 Rh 2.65-2.72, 1 Ni 2.66
Ru 0.0831 0.7537 0.9977 x2  5 Ru 2.63-2.70, 2 Ni 2.66-2.73, 5 Rh 2.66-2.73
Ru 0.4134 0.0815 0.1663 x2  6 Ru 2.64-2.71, 1 Ni 2.65, 5 Rh 2.66-2.73
Ru 0.4126 0.7482 0.5024 x2  3 Ni 2.65-2.69, 4 Ru 2.66-2.71, 5 Rh 2.66-2.72
Rh 0.0812 0.0884 0.6642 x2  2 Rh 2.64-2.67, 3 Ni 2.65-2.67, 7 Ru 2.66-2.73
Rh 0.4194 0.4197 0.8316 x2  2 Rh 2.66-2.67, 8 Ru 2.66-2.73, 2 Ni 2.68-2.72